No. 1
This record from Alexandria via LeMat-Bulk describes crystalline MgCo2P2O8 at its relaxed geometry. The functional is GGA-PBEsol.

Output
- volume (Å³ per atom) = 12.13
- crystal system = monoclinic

abc: 5.0322 7.5836 8.2943
angles: 90.00 90.00 94.74
With the nearest neighbours (Å) after each atom.
Positions (direct):
Co: 0.9070 0.3877 0.8593  4 O 1.95-2.00
Mg: 0.0000 0.5000 0.5000  6 O 2.02-2.15
P: 0.9625 0.8008 0.8050  4 O 1.53-1.56
O: 0.5476 0.8610 0.4211  1 P 1.56
O: 0.0569 0.7422 0.6353  1 P 1.56
O: 0.9431 0.2578 0.3647  1 P 1.56
O: 0.8248 0.0554 0.1391  1 P 1.53
O: 0.5569 0.2422 0.8647  1 P 1.56
P: 0.0375 0.1992 0.1950  4 O 1.53-1.56
O: 0.3248 0.5554 0.3609  1 P 1.53
P: 0.5375 0.6992 0.3050  4 O 1.53-1.56
Mg: 0.5000 0.0000 0.0000  6 O 2.02-2.15
O: 0.4524 0.1390 0.5789  1 P 1.56
O: 0.8160 0.6278 0.3041  1 P 1.54
O: 0.4431 0.7578 0.1353  1 P 1.56
O: 0.3160 0.1278 0.1959  1 P 1.54
Co: 0.4070 0.8877 0.6407  4 O 1.95-2.00
O: 0.1752 0.9446 0.8609  1 P 1.53
O: 0.6752 0.4446 0.6391  1 P 1.53
O: 0.9524 0.6390 0.9211  1 P 1.56
O: 0.6840 0.8722 0.8041  1 P 1.54
P: 0.4625 0.3008 0.6950  4 O 1.53-1.56
Co: 0.0930 0.6123 0.1407  4 O 1.95-2.00
O: 0.0476 0.3610 0.0789  1 P 1.56
Co: 0.5930 0.1123 0.3593  4 O 1.95-2.00
O: 0.1840 0.3722 0.6959  1 P 1.54



No. 2
This record from Alexandria via LeMat-Bulk describes crystalline MgCoSi4O10 at its relaxed geometry. The functional is GGA-PBEsol.

Output
- volume (Å³ per atom) = 11.64
- crystal system = tetragonal

abc: 7.1112 7.1112 14.7305
angles: 90.00 90.00 90.00
With the nearest neighbours (Å) after each atom.
Positions (direct):
Si: 0.7431 0.3239 0.6428  4 O 1.62-1.64
Si: 0.8239 0.2431 0.1428  4 O 1.62-1.64
O: 0.2512 0.4187 0.4257  1 Si 1.62
O: 0.7604 0.0492 0.8797  2 Si 1.63-1.64
O: 0.2042 0.7958 0.2500  2 Si 1.62
Si: 0.2569 0.6761 0.6428  4 O 1.62-1.64
O: 0.2958 0.7042 0.7500  2 Si 1.62
O: 0.9508 0.7604 0.1203  2 Si 1.63-1.64
O: 0.7958 0.2042 0.2500  2 Si 1.62
O: 0.5492 0.2604 0.3797  2 Si 1.63-1.64
Mg: 0.0000 0.0000 0.5000  4 O 2.16
O: 0.7042 0.2958 0.7500  2 Si 1.62
O: 0.7396 0.4508 0.1203  2 Si 1.63-1.64
Co: 0.5000 0.0000 0.0730  4 O 1.88
O: 0.5813 0.7488 0.0743  1 Si 1.62
O: 0.4508 0.2604 0.8797  2 Si 1.63-1.64
Si: 0.8239 0.7569 0.6428  4 O 1.62-1.64
O: 0.7512 0.9187 0.5743  1 Si 1.62
Si: 0.1761 0.7569 0.1428  4 O 1.62-1.64
O: 0.2488 0.0813 0.5743  1 Si 1.62
O: 0.9508 0.2396 0.6203  2 Si 1.63-1.64
Si: 0.1761 0.2431 0.6428  4 O 1.62-1.64
O: 0.5813 0.2512 0.5743  1 Si 1.62
Si: 0.6761 0.2569 0.8572  4 O 1.62-1.64
O: 0.7042 0.7042 0.2500  2 Si 1.62
Co: 0.0000 0.5000 0.9270  4 O 1.88
O: 0.7488 0.5813 0.4257  1 Si 1.62
Si: 0.2431 0.8239 0.3572  4 O 1.62-1.64
O: 0.2396 0.9508 0.8797  2 Si 1.63-1.64
O: 0.4187 0.2512 0.0743  1 Si 1.62
O: 0.4508 0.7396 0.3797  2 Si 1.63-1.64
O: 0.7488 0.4187 0.9257  1 Si 1.62
Mg: 0.5000 0.5000 0.5000  4 O 2.16
O: 0.4187 0.7488 0.5743  1 Si 1.62
O: 0.9187 0.2488 0.4257  1 Si 1.62
O: 0.2042 0.2042 0.7500  2 Si 1.62
O: 0.7512 0.0813 0.0743  1 Si 1.62
O: 0.2958 0.2958 0.2500  2 Si 1.62
Si: 0.7431 0.6761 0.1428  4 O 1.62-1.64
Si: 0.3239 0.2569 0.3572  4 O 1.62-1.64
Si: 0.7569 0.8239 0.8572  4 O 1.62-1.64
O: 0.0813 0.7512 0.4257  1 Si 1.62
O: 0.2512 0.5813 0.9257  1 Si 1.62
Si: 0.3239 0.7431 0.8572  4 O 1.62-1.64
O: 0.2396 0.0492 0.3797  2 Si 1.63-1.64
O: 0.7604 0.9508 0.3797  2 Si 1.63-1.64
Si: 0.6761 0.7431 0.3572  4 O 1.62-1.64
O: 0.2604 0.4508 0.6203  2 Si 1.63-1.64
Co: 0.0000 0.5000 0.4270  4 O 1.88
Mg: 0.0000 0.0000 0.0000  4 O 2.16
Si: 0.2431 0.1761 0.8572  4 O 1.62-1.64
O: 0.0492 0.7604 0.6203  2 Si 1.63-1.64
O: 0.0492 0.2396 0.1203  2 Si 1.63-1.64
O: 0.2604 0.5492 0.1203  2 Si 1.63-1.64
Mg: 0.5000 0.5000 0.0000  4 O 2.16
Si: 0.7569 0.1761 0.3572  4 O 1.62-1.64
O: 0.0813 0.2488 0.9257  1 Si 1.62
O: 0.7958 0.7958 0.7500  2 Si 1.62
Co: 0.5000 0.0000 0.5730  4 O 1.88
O: 0.9187 0.7512 0.9257  1 Si 1.62
O: 0.5492 0.7396 0.8797  2 Si 1.63-1.64
Si: 0.2569 0.3239 0.1428  4 O 1.62-1.64
O: 0.2488 0.9187 0.0743  1 Si 1.62
O: 0.7396 0.5492 0.6203  2 Si 1.63-1.64



No. 3
This record from Alexandria via LeMat-Bulk describes crystalline Mg30CoSnO32 at its relaxed geometry. The functional is GGA-PBEsol.

Output
- volume (Å³ per atom) = 9.60
- crystal system = tetragonal

abc: 8.4836 8.5092 8.5092
angles: 90.00 90.00 90.00
With the nearest neighbours (Å) after each atom.
Positions (direct):
O: 0.7517 0.5000 0.0000  6 Mg 2.10-2.13
O: 0.5000 0.2525 0.5000  6 Mg 2.09-2.15
O: 0.0000 0.0000 0.2571  5 Mg 2.07-2.12, 1 Co 2.19
Mg: 0.5000 0.5000 0.0000  6 O 1.99-2.15
O: 0.0000 0.2510 0.5000  6 Mg 2.11-2.14
O: 0.5000 0.0000 0.7337  5 Mg 1.99-2.18
Mg: 0.2436 0.2533 0.0000  6 O 2.07-2.18
Mg: 0.5000 0.2543 0.2543  6 O 2.09-2.17
Mg: 0.5000 0.2543 0.7457  6 O 2.09-2.17
O: 0.2504 0.2493 0.2493  6 Mg 2.12-2.13
O: 0.2504 0.2493 0.7507  6 Mg 2.12-2.13
Mg: 0.0000 0.5000 0.5000  6 O 2.12
Mg: 0.7564 0.0000 0.2533  6 O 2.07-2.18
O: 0.5000 0.2663 0.0000  5 Mg 1.99-2.18
Mg: 0.2489 0.7498 0.5000  6 O 2.11-2.13
O: 0.7648 0.0000 0.0000  1 Co 2.00, 4 Mg 2.16
O: 0.7517 0.0000 0.5000  6 Mg 2.10-2.13
O: 0.2504 0.7507 0.2493  6 Mg 2.12-2.13
O: 0.2497 0.5000 0.5000  6 Mg 2.12-2.13
Mg: 0.0000 0.7514 0.2486  6 O 2.12-2.14
Mg: 0.2489 0.2502 0.5000  6 O 2.11-2.13
Mg: 0.7564 0.7467 0.0000  6 O 2.07-2.18
Mg: 0.7564 0.2533 0.0000  6 O 2.07-2.18
Mg: 0.0000 0.0000 0.5000  6 O 2.07-2.14
O: 0.0000 0.5000 0.2510  6 Mg 2.11-2.14
Mg: 0.7511 0.7498 0.5000  6 O 2.11-2.13
O: 0.2483 0.5000 0.0000  6 Mg 2.10-2.13
Mg: 0.0000 0.5000 0.0000  6 O 2.07-2.14
O: 0.0000 0.5000 0.7490  6 Mg 2.11-2.14
Mg: 0.7511 0.2502 0.5000  6 O 2.11-2.13
O: 0.5000 0.5000 0.2525  6 Mg 2.09-2.15
Mg: 0.5000 0.7457 0.7457  6 O 2.09-2.17
Mg: 0.7511 0.5000 0.7498  6 O 2.11-2.13
O: 0.7496 0.7507 0.2493  6 Mg 2.12-2.13
O: 0.7503 0.5000 0.5000  6 Mg 2.12-2.13
Mg: 0.2436 0.7467 0.0000  6 O 2.07-2.18
Co: 0.0000 0.0000 0.0000  6 O 2.00-2.19
O: 0.2483 0.0000 0.5000  6 Mg 2.10-2.13
Mg: 0.2436 0.0000 0.2533  6 O 2.07-2.18
O: 0.0000 0.2571 0.0000  5 Mg 2.07-2.12, 1 Co 2.19
Mg: 0.5000 0.7457 0.2543  6 O 2.09-2.17
O: 0.5000 0.0000 0.2663  5 Mg 1.99-2.18
Mg: 0.0000 0.2486 0.7514  6 O 2.12-2.14
Mg: 0.2489 0.5000 0.7498  6 O 2.11-2.13
O: 0.0000 0.0000 0.7429  5 Mg 2.07-2.12, 1 Co 2.19
O: 0.5000 0.5000 0.7475  6 Mg 2.09-2.15
O: 0.7496 0.7507 0.7507  6 Mg 2.12-2.13
O: 0.7496 0.2493 0.7507  6 Mg 2.12-2.13
Sn: 0.5000 0.0000 0.0000  6 O 2.25-2.27
Mg: 0.5000 0.0000 0.5000  6 O 1.99-2.15
O: 0.2504 0.7507 0.7507  6 Mg 2.12-2.13
O: 0.5000 0.7337 0.0000  5 Mg 1.99-2.18
Mg: 0.7564 0.0000 0.7467  6 O 2.07-2.18
O: 0.2352 0.0000 0.0000  1 Co 2.00, 4 Mg 2.16
O: 0.7496 0.2493 0.2493  6 Mg 2.12-2.13
O: 0.0000 0.7429 0.0000  5 Mg 2.07-2.12, 1 Co 2.19
Mg: 0.7511 0.5000 0.2502  6 O 2.11-2.13
Mg: 0.2436 0.0000 0.7467  6 O 2.07-2.18
Mg: 0.5000 0.5000 0.5000  6 O 2.11-2.12
Mg: 0.0000 0.7514 0.7514  6 O 2.12-2.14
O: 0.5000 0.7475 0.5000  6 Mg 2.09-2.15
O: 0.0000 0.7490 0.5000  6 Mg 2.11-2.14
Mg: 0.0000 0.2486 0.2486  6 O 2.12-2.14
Mg: 0.2489 0.5000 0.2502  6 O 2.11-2.13



No. 4
This record from Alexandria via LeMat-Bulk describes crystalline Mg2Ta2CoO8 at its relaxed geometry. The functional is GGA-PBEsol.

Output
- volume (Å³ per atom) = 10.94
- crystal system = monoclinic

abc: 5.1145 5.9411 9.8241
angles: 107.60 89.96 90.00
With the nearest neighbours (Å) after each atom.
Positions (direct):
O: 0.9548 0.0869 0.3714  2 Mg 2.02-2.25, 1 Ta 2.04
Ta: 0.7482 0.2753 0.2287  5 O 1.85-2.04
O: 0.3804 0.8358 0.3807  1 Ta 1.95, 3 Mg 1.97-2.09
Mg: 0.2537 0.1296 0.5455  4 O 1.97-2.09
Mg: 0.7537 0.4159 0.5455  4 O 1.97-2.09
O: 0.5879 0.9526 0.1382  2 Ta 1.95-2.03, 1 Co 2.17
Co: 0.7500 0.6255 0.0000  6 O 2.01-2.17
O: 0.9190 0.3144 0.8845  1 Ta 1.85, 2 Co 2.01-2.04
O: 0.1196 0.4551 0.6193  1 Ta 1.95, 3 Mg 1.97-2.09
O: 0.0810 0.6856 0.1155  1 Ta 1.85, 2 Co 2.01-2.04
O: 0.0452 0.9131 0.6286  2 Mg 2.02-2.25, 1 Ta 2.04
O: 0.8804 0.5449 0.3807  1 Ta 1.95, 3 Mg 1.97-2.09
Ta: 0.2518 0.7247 0.7713  5 O 1.85-2.04
O: 0.9121 0.8145 0.8618  2 Ta 1.95-2.03, 1 Co 2.17
Mg: 0.7463 0.8704 0.4545  4 O 1.97-2.09
Ta: 0.2482 0.9534 0.2287  5 O 1.85-2.04
O: 0.5452 0.7155 0.6286  2 Mg 2.02-2.25, 1 Ta 2.04
Mg: 0.2463 0.5841 0.4545  4 O 1.97-2.09
O: 0.5810 0.4299 0.1155  1 Ta 1.85, 2 Co 2.01-2.04
Ta: 0.7518 0.0466 0.7713  5 O 1.85-2.04
O: 0.6196 0.1642 0.6193  1 Ta 1.95, 3 Mg 1.97-2.09
Co: 0.2500 0.3745 0.0000  6 O 2.01-2.17
O: 0.4548 0.2845 0.3714  2 Mg 2.02-2.25, 1 Ta 2.04
O: 0.0879 0.1855 0.1382  2 Ta 1.95-2.03, 1 Co 2.17
O: 0.4190 0.5701 0.8845  1 Ta 1.85, 2 Co 2.01-2.04
O: 0.4121 0.0474 0.8618  2 Ta 1.95-2.03, 1 Co 2.17



Formation energy (no corrections) values (in eV/atom) by entry order: -1.89, -2.46, -2.58, -2.47.
Spin magnetization values (in μB/f.u.) by entry order: 6.0, 1.0, 1.7, 3.0.
D(E_F) values (in states/eV per atom) by entry order: 0.003, 0.404, 0.182, 0.305.